Record 1
# Y2Al4NiPd3

An optimized crystal structure of Y2Al4NiPd3 (PBE-GGA, the Alexandria database).

Calculated density   6.03 Mg/m³
Energy of formation from the pure elements   -0.79 eV/atom
V   18.274 Å³/atom
VASP energy   -5.71 eV per atom

abc: 4.182 4.182 10.450
angles: 90.00 90.00 90.00
Sites, in units of the cell vectors:
Y  0.000  0.500  0.242
Y  0.500  0.000  0.758
Al  0.000  0.000  0.500
Al  0.000  0.500  0.878
Al  0.500  0.000  0.122
Al  0.500  0.500  0.500
Ni  0.500  0.500  0.000
Pd  0.000  0.000  0.000
Pd  0.000  0.500  0.639
Pd  0.500  0.000  0.361

Record 2
# Li4TlGa

An optimized crystal structure of Li4TlGa (PBE-GGA, the Alexandria database).

Calculated density   4.88 Mg/m³
Energy of formation from the pure elements   -0.22 eV/atom
V   17.121 Å³/atom
VASP energy   -2.39 eV per atom

abc: 4.583 4.583 5.646
angles: 90.00 90.00 60.00
Sites, in units of the cell vectors:
Li  0.167  0.166  0.764
Li  0.167  0.167  0.235
Li  0.833  0.833  0.765
Li  0.834  0.833  0.236
Tl  0.500  0.500  0.500
Ga  0.501  0.499  0.000

Record 3
# TeAs2Pb

An optimized crystal structure of TeAs2Pb (PBE-GGA, the Alexandria database).

Energy relative to the elements, uncorrected   7.9 kcal/mol of atoms
Calculated density   7.91 Mg/m³
V   25.424 Å³/atom
VASP energy   -3.69 eV per atom

abc: 6.271 6.271 6.271
angles: 139.83 139.83 58.12
Sites, in units of the cell vectors:
Te  0.000  0.000  0.000
As  0.250  0.750  0.500
As  0.500  0.500  0.000
Pb  0.750  0.250  0.500

Record 4
# Ce2Th7Sc2

An optimized crystal structure of Ce2Th7Sc2 (PBE-GGA, the Alexandria database).

Calculated density   9.56 Mg/m³
Energy of formation from the pure elements   0.38 eV/atom
V   31.506 Å³/atom
VASP energy   -6.57 eV per atom

abc: 6.616 6.616 9.158
angles: 90.00 90.00 120.17
Sites, in units of the cell vectors:
Ce  0.230  0.230  0.000
Ce  0.770  0.770  0.000
Th  0.000  0.000  0.500
Th  0.000  0.500  0.183
Th  0.000  0.500  0.817
Th  0.500  0.000  0.183
Th  0.500  0.000  0.817
Th  0.500  0.500  0.310
Th  0.500  0.500  0.690
Sc  0.275  0.725  0.500
Sc  0.725  0.275  0.500

V of number 4 (Ce2Th7Sc2)? 31.506 Å³/atom

Copy entry 1 word for word.
# Y2Al4NiPd3

An optimized crystal structure of Y2Al4NiPd3 (PBE-GGA, the Alexandria database).

Calculated density   6.03 Mg/m³
Energy of formation from the pure elements   -0.79 eV/atom
V   18.274 Å³/atom
VASP energy   -5.71 eV per atom

abc: 4.182 4.182 10.450
angles: 90.00 90.00 90.00
Sites, in units of the cell vectors:
Y  0.000  0.500  0.242
Y  0.500  0.000  0.758
Al  0.000  0.000  0.500
Al  0.000  0.500  0.878
Al  0.500  0.000  0.122
Al  0.500  0.500  0.500
Ni  0.500  0.500  0.000
Pd  0.000  0.000  0.000
Pd  0.000  0.500  0.639
Pd  0.500  0.000  0.361

Which of these has the highest calculated density? Ce2Th7Sc2